(1)
VASP calculation (GGA-PBEsol) on a geometry-optimized TaSb2HI structure.

Calculated values
The value obtained for the calculated density is 5.9 g cm⁻³. Its space group is No. 123. The value obtained for the total energy is -4.5359 eV per atom.

a = 5.2918 Å, b = 5.2918 Å, c = 5.5969 Å
α = 90.00°, β = 90.00°, γ = 90.00°
Closest atoms and distances in Å follow each position.
Positions (direct):
I 0.0000 0.0000 0.5000  2 Ta 2.80
Sb 0.0000 0.5000 0.0000  2 Ta 2.65
Sb 0.5000 0.0000 0.0000  2 Ta 2.65
H 0.5000 0.5000 0.5000  4 I 3.74, 8 Sb 3.85
Ta 0.0000 0.0000 0.0000  4 Sb 2.65, 2 I 2.80

(2)
VASP calculation (GGA-PBEsol) on a geometry-optimized AlSeN2O structure.

Calculated values
The value obtained for the calculated density is 3.6 g cm⁻³. Its space group is No. 123. The value obtained for the total energy is -5.0191 eV per atom. The calculation puts the energy relative to the elements, uncorrected at 1.0297 eV per atom.

a = 3.4741 Å, b = 3.4741 Å, c = 5.7761 Å
α = 90.00°, β = 90.00°, γ = 90.00°
Closest atoms and distances in Å follow each position.
Positions (direct):
O 0.5000 0.5000 0.5000  4 Se 2.46
Al 0.0000 0.0000 0.0000  4 N 1.74
Se 0.0000 0.0000 0.5000  4 O 2.46
N 0.0000 0.5000 0.0000  2 Al 1.74
N 0.5000 0.0000 0.0000  2 Al 1.74